[1]
VASP calculation (PBE-GGA) on a relaxed Pm3RuRh crystal.

CIF file:
```
data_Pm3RuRh
_chemical_formula_sum 'Pm12 Ru4 Rh4'
_space_group_name_H-M_alt 'P 1'
_space_group_IT_number 1
_cell_length_a 6.927
_cell_length_b 8.351
_cell_length_c 10.256
_cell_angle_alpha 114.02
_cell_angle_beta 109.99
_cell_angle_gamma 90.00
loop_
_space_group_symop_operation_xyz
'x,y,z'
loop_
_atom_site_label
_atom_site_fract_x
_atom_site_fract_y
_atom_site_fract_z
_atom_site_occupancy
Pm1 0.062 0.776 0.623 1
Pm2 0.562 0.847 0.623 1
Pm3 0.438 0.153 0.377 1
Pm4 0.938 0.224 0.377 1
Pm5 0.101 0.756 0.288 1
Pm6 0.601 0.532 0.288 1
Pm7 0.399 0.468 0.712 1
Pm8 0.899 0.244 0.712 1
Pm9 0.051 0.293 0.097 1
Pm10 0.551 0.804 0.097 1
Pm11 0.449 0.196 0.903 1
Pm12 0.949 0.707 0.903 1
Ru1 0.265 0.515 0.429 1
Ru2 0.765 0.914 0.429 1
Ru3 0.235 0.086 0.571 1
Ru4 0.735 0.485 0.571 1
Rh1 0.250 0.500 0.000 1
Rh2 0.250 0.996 0.000 1
Rh3 0.750 0.500 0.000 1
Rh4 0.750 0.004 0.000 1
```

Calculated values
ΔE_f   -0.367 eV per atom
Energy   -6.543 eV per atom
V   126 Å³/f.u.

***

[2]
VASP calculation (PBE-GGA) on a relaxed Pm8RuRh5 crystal.

CIF file:
```
data_Pm8RuRh5
_chemical_formula_sum 'Pm8 Ru1 Rh5'
_space_group_name_H-M_alt 'P 1'
_space_group_IT_number 1
_cell_length_a 7.616
_cell_length_b 7.616
_cell_length_c 7.616
_cell_angle_alpha 109.51
_cell_angle_beta 109.39
_cell_angle_gamma 109.51
loop_
_space_group_symop_operation_xyz
'x,y,z'
loop_
_atom_site_label
_atom_site_fract_x
_atom_site_fract_y
_atom_site_fract_z
_atom_site_occupancy
Pm1 0.127 0.749 0.994 1
Pm2 0.006 0.132 0.755 1
Pm3 0.748 0.250 0.376 1
Pm4 0.624 0.372 0.874 1
Pm5 0.502 0.628 0.252 1
Pm6 0.623 0.868 0.873 1
Pm7 0.245 0.251 0.377 1
Pm8 0.126 0.750 0.498 1
Ru1 0.250 0.500 0.750 1
Rh1 0.998 0.375 0.126 1
Rh2 0.874 0.872 0.249 1
Rh3 0.751 0.625 0.623 1
Rh4 0.500 0.000 0.500 1
Rh5 0.377 0.128 0.002 1
```

Calculated values
ΔE_f   -0.565 eV per atom
Energy   -6.568 eV per atom
V   340 Å³/f.u.